(1)
LiTlPb3 | the Alexandria database | PBE | relaxed; D(E_F) = 1.72 states/eV/f.u.; DFT formation energy = 0.085 eV per atom; SG = No. 221; offset from the most stable computed form = 0.158 eV/atom
1.0
5.291 0.000 0.000
0.000 5.291 0.000
0.000 0.000 5.291
Li Tl Pb
1 1 3
Direct
0.000 0.000 0.000
0.500 0.500 0.500
0.000 0.000 0.500
0.000 0.500 0.000
0.500 0.000 0.000


(2)
Hg2OsSe | the Alexandria database | PBE | relaxed; D(E_F) = 3.40 states/eV/f.u.; formation energy from raw total energies = 0.83 eV per atom; SG = No. 123
1.0
2.927 0.000 0.000
0.000 2.927 0.000
0.000 0.000 9.706
Hg Os Se
2 1 1
Direct
0.000 0.000 0.212
0.000 0.000 0.788
0.500 0.500 0.000
0.500 0.500 0.500


(3)
Pr3Ag | the Alexandria database | PBE | relaxed; D(E_F) = 5.28 states/eV/f.u.; DFT formation energy = 0.102 eV per atom; SG = No. 25; offset from the most stable computed form = 0.186 eV/atom
1.0
3.556 0.000 0.000
0.000 3.650 0.000
0.000 0.000 10.269
Pr Ag
3 1
Direct
0.000 0.000 0.000
0.000 0.500 0.306
0.500 0.500 0.742
0.500 0.000 0.491


(4)
SbPOs2 | the Alexandria database | PBE | relaxed; D(E_F) = 3.16 states/eV/f.u.; formation energy from raw total energies = 0.28 eV per atom; SG = No. 25; offset from the most stable computed form = 0.188 eV/atom
1.0
2.990 0.000 0.000
0.000 3.813 0.000
0.000 0.000 5.752
Sb P Os
1 1 2
Direct
0.000 0.000 0.000
0.500 0.500 0.614
0.000 0.000 0.524
0.500 0.500 0.214


(5)
NaH9O5 | the Alexandria database | PBE | relaxed; D(E_F) = 0.00 states/eV/f.u.; SG = No. 5; offset from the most stable computed form = 0.000 eV/atom
1.0
7.713 -2.052 0.000
7.713 2.052 0.000
-4.261 0.000 8.456
Na H O
2 18 10
Direct
0.046 0.046 0.357
0.954 0.954 0.643
0.041 0.442 0.477
0.041 0.661 0.298
0.106 0.504 0.891
0.228 0.240 0.325
0.299 0.302 0.105
0.339 0.959 0.702
0.428 0.430 0.837
0.457 0.461 0.111
0.496 0.894 0.109
0.500 0.111 0.891
0.539 0.543 0.889
0.558 0.959 0.523
0.570 0.572 0.163
0.657 0.045 0.299
0.698 0.701 0.895
0.760 0.772 0.675
0.889 0.500 0.109
0.955 0.343 0.701
0.106 0.110 0.643
0.206 0.215 0.407
0.273 0.276 0.182
0.347 0.352 0.934
0.476 0.479 0.794
0.521 0.524 0.206
0.648 0.653 0.066
0.724 0.727 0.818
0.785 0.794 0.593
0.890 0.894 0.357


(6)
LaCdGa2Fe | the Alexandria database | PBE | relaxed; D(E_F) = 2.55 states/eV/f.u.; DFT formation energy = -0.259 eV per atom; SG = No. 123
1.0
4.636 0.000 0.000
0.000 4.636 0.000
0.000 0.000 4.961
La Cd Ga Fe
1 1 2 1
Direct
0.000 0.000 0.000
0.500 0.500 0.000
0.000 0.500 0.500
0.500 0.000 0.500
0.500 0.500 0.500


(7)
BeNb2Tl | the Alexandria database | PBE | relaxed; D(E_F) = 2.91 states/eV/f.u.; DFT formation energy = 0.604 eV per atom; SG = No. 122; offset from the most stable computed form = 0.057 eV/atom
1.0
-3.626 3.626 2.761
3.626 -3.626 2.761
3.626 3.626 -2.761
Be Nb Tl
2 4 2
Direct
0.000 0.000 0.000
0.750 0.250 0.500
0.094 0.625 0.969
0.375 0.344 0.469
0.656 0.125 0.031
0.875 0.906 0.531
0.250 0.750 0.500
0.500 0.500 0.000


(8)
Na2TlSb2 | the Alexandria database | PBE | relaxed; D(E_F) = 1.94 states/eV/f.u.; formation energy from raw total energies = -0.21 eV per atom; SG = No. 71; offset from the most stable computed form = 0.014 eV/atom
1.0
-2.622 3.414 4.337
2.622 -3.414 4.337
2.622 3.414 -4.337
Na Tl Sb
2 1 2
Direct
0.199 0.199 0.000
0.801 0.801 0.000
0.500 0.000 0.500
0.210 0.500 0.710
0.790 0.500 0.290